Below is a relaxed Na2Zn5Au12 crystal, with properties calculated at the PBE level.

Computed properties:
* Fermi-level density of states: 0.233 states/eV per atom
* formation energy: -0.20 eV/atom
* density: 12.56 g/cm3
* total magnetic moment: 0.000 μB/f.u.

abc: 7.1836 7.1836 7.1836
angles: 82.43 82.43 82.43
Sites, in units of the cell vectors:
Au 0.0000 0.6877 0.3123
Au 0.6877 0.0000 0.3123
Au 0.3123 0.0000 0.6877
Au 0.6877 0.3123 0.0000
Au 0.6683 0.6683 0.1318
Au 0.6683 0.1318 0.6683
Au 0.3123 0.6877 0.0000
Au 0.0000 0.3123 0.6877
Au 0.3317 0.8682 0.3317
Au 0.1318 0.6683 0.6683
Au 0.8682 0.3317 0.3317
Au 0.3317 0.3317 0.8682
Na 0.3531 0.3531 0.3531
Na 0.6469 0.6469 0.6469
Zn 0.5000 0.0000 0.0000
Zn 0.0000 0.0000 0.5000
Zn 0.9038 0.9038 0.9038
Zn 0.0000 0.5000 0.0000
Zn 0.0962 0.0962 0.0962